(1)
Density functional theory data (PBE) for a relaxed structure of Zn2FeP.

Lattice parameters (Å, degrees): 8.2294 8.2294 8.2294 19.68 19.68 19.68
Fractional coordinates of all 4 atoms:
Fe1 0.4915 0.4915 0.4915
P1 0.7642 0.7642 0.7642
Zn1 0.0031 0.0031 0.0031
Zn2 0.2412 0.2412 0.2412

Calculated values
The calculation puts the total magnetic moment at 0.63 Bohr magnetons per cell. The formation energy comes out at -0.03 eV/atom. As for the space group: R3m (160). The value obtained for the final energy is -4.131 eV per atom.

(2)
Density functional theory data (PBE) for a relaxed structure of ZnFe3P.

Lattice parameters (Å, degrees): 4.3862 4.3862 4.3862 90.00 90.00 90.00
Fractional coordinates of all 5 atoms:
Fe1 0.0000 0.0000 0.5000
Fe2 0.5000 0.0000 0.0000
Fe3 0.0000 0.5000 0.0000
Zn1 0.0000 0.0000 0.0000
P1 0.5000 0.5000 0.5000

Calculated values
As for the distance to the lowest polymorph of the same formula: 5.04 eV/f.u. The calculation puts the total magnetic moment at 8.82 Bohr magnetons per cell. The formation energy comes out at 1.25 eV/atom. As for the space group: Pm-3m (221). The value obtained for the final energy is -5.167 eV per atom.

(3)
Density functional theory data (PBE) for a relaxed structure of Zn2FeP.

Lattice parameters (Å, degrees): 6.5250 6.5250 3.5794 74.10 74.10 22.81
Fractional coordinates of all 4 atoms:
Fe1 0.2500 0.2500 0.2500
P1 0.7500 0.7500 0.7500
Zn1 0.9357 0.9357 0.0638
Zn2 0.5643 0.5643 0.4362

Calculated values
The calculation puts the total magnetic moment at 0.00 Bohr magnetons per cell. The formation energy comes out at -0.06 eV/atom. As for the space group: Immm (71). The value obtained for the final energy is -4.170 eV per atom.

(4)
Density functional theory data (PBE) for a relaxed structure of ZnFeP3.

Lattice parameters (Å, degrees): 4.3707 4.3707 4.3707 90.00 90.00 90.00
Fractional coordinates of all 5 atoms:
Fe1 0.0000 0.0000 0.0000
P1 0.0000 0.0000 0.5000
P2 0.0000 0.5000 0.0000
P3 0.5000 0.0000 0.0000
Zn1 0.5000 0.5000 0.5000

Calculated values
As for the distance to the lowest polymorph of the same formula: 0.00 eV/f.u. The calculation puts the total magnetic moment at 0.00 Bohr magnetons per cell. The formation energy comes out at 0.53 eV/atom. As for the space group: Pm-3m (221). The value obtained for the final energy is -4.662 eV per atom.